1.
Below is an optimized crystal structure of ScS2N2, with properties calculated at the PBEsol level.

Properties
Fermi-level density of states = 0.413 states/eV/atom
Space group = P4/mmm (123)
Formation energy from raw total energies = 0.492 eV/atom

Unit cell a=3.9238 b=3.9238 c=3.8575 alpha=90.00 beta=90.00 gamma=90.00
Closest atoms and distances in Å follow each position.
Fractional coordinates of all 5 atoms:
Sc (0.0000, 0.0000, 0.0000)  8 S 2.75, 4 N 2.77
S (0.0000, 0.5000, 0.5000)  2 N 1.96
S (0.5000, 0.0000, 0.5000)  2 N 1.96
N (0.5000, 0.5000, 0.0000)  2 N 1.93
N (0.5000, 0.5000, 0.5000)  2 N 1.93, 4 S 1.96

=====

2.
Below is an optimized crystal structure of ScSeSN2, with properties calculated at the PBEsol level.

Properties
Fermi-level density of states = 0.320 states/eV/atom
Space group = P4/mmm (123)
Formation energy from raw total energies = 0.498 eV/atom

Unit cell a=3.8150 b=3.8150 c=4.6834 alpha=90.00 beta=90.00 gamma=90.00
Closest atoms and distances in Å follow each position.
Fractional coordinates of all 5 atoms:
Sc (0.0000, 0.0000, 0.0000)  4 S 2.70, 8 N 3.02
Se (0.5000, 0.5000, 0.5000)  4 N 1.91
S (0.5000, 0.5000, 0.0000)  2 Se 2.34
N (0.0000, 0.5000, 0.5000)  2 Se 1.91
N (0.5000, 0.0000, 0.5000)  2 Se 1.91

=====

3.
Below is an optimized crystal structure of ScTaS2N, with properties calculated at the PBEsol level.

Properties
Fermi-level density of states = 0.683 states/eV/atom
Space group = P4/mmm (123)
Formation energy from raw total energies = 0.316 eV/atom

Unit cell a=4.7614 b=4.7614 c=3.8515 alpha=90.00 beta=90.00 gamma=90.00
Closest atoms and distances in Å follow each position.
Fractional coordinates of all 5 atoms:
Sc (0.0000, 0.0000, 0.0000)  2 N 1.93
Ta (0.5000, 0.5000, 0.5000)  8 S 3.06, 4 N 3.37
S (0.0000, 0.5000, 0.0000)  2 Sc 2.38
S (0.5000, 0.0000, 0.0000)  2 Sc 2.38
N (0.0000, 0.0000, 0.5000)  2 Sc 1.93

=====

4.
Below is an optimized crystal structure of ScWSN2, with properties calculated at the PBEsol level.

Properties
Fermi-level density of states = 0.422 states/eV/atom
Space group = P4/mmm (123)
Formation energy from raw total energies = -0.483 eV/atom

Unit cell a=3.8834 b=3.8834 c=4.7566 alpha=90.00 beta=90.00 gamma=90.00
Closest atoms and distances in Å follow each position.
Fractional coordinates of all 5 atoms:
Sc (0.0000, 0.0000, 0.0000)  4 S 2.75, 8 N 3.07
W (0.5000, 0.5000, 0.5000)  4 N 1.94
S (0.5000, 0.5000, 0.0000)  2 W 2.38
N (0.0000, 0.5000, 0.5000)  2 W 1.94
N (0.5000, 0.0000, 0.5000)  2 W 1.94

=====

5.
Below is an optimized crystal structure of ZrScSN2, with properties calculated at the PBEsol level.

Properties
Fermi-level density of states = 0.607 states/eV/atom
Space group = P4/mmm (123)
Formation energy from raw total energies = -0.193 eV/atom

Unit cell a=3.9616 b=3.9616 c=4.7845 alpha=90.00 beta=90.00 gamma=90.00
Closest atoms and distances in Å follow each position.
Fractional coordinates of all 5 atoms:
Zr (0.0000, 0.0000, 0.0000)  4 S 2.80, 8 N 3.11
Sc (0.5000, 0.5000, 0.5000)  4 N 1.98
S (0.5000, 0.5000, 0.0000)  2 Sc 2.39
N (0.0000, 0.5000, 0.5000)  2 Sc 1.98
N (0.5000, 0.0000, 0.5000)  2 Sc 1.98

=====

6.
Below is an optimized crystal structure of ZrScS2N, with properties calculated at the PBEsol level.

Properties
Fermi-level density of states = 0.592 states/eV/atom
Space group = P4/mmm (123)
Formation energy from raw total energies = -0.288 eV/atom

Unit cell a=4.5310 b=4.5310 c=4.0228 alpha=90.00 beta=90.00 gamma=90.00
Closest atoms and distances in Å follow each position.
Fractional coordinates of all 5 atoms:
Zr (0.0000, 0.0000, 0.0000)  2 N 2.01
Sc (0.5000, 0.5000, 0.0000)  8 S 3.03, 4 Zr 3.20
S (0.0000, 0.5000, 0.5000)  2 N 2.27
S (0.5000, 0.0000, 0.5000)  2 N 2.27
N (0.0000, 0.0000, 0.5000)  2 Zr 2.01

=====

7.
Below is an optimized crystal structure of SeS2N, with properties calculated at the PBEsol level.

Properties
Fermi-level density of states = 0.577 states/eV/atom
Space group = I-42d (122)
Formation energy from raw total energies = 1.055 eV/atom

Unit cell a=6.5617 b=6.5617 c=6.5617 alpha=136.01 beta=136.01 gamma=63.97
Closest atoms and distances in Å follow each position.
Fractional coordinates of all 8 atoms:
Se (0.0000, 0.0000, 0.0000)  4 S 2.79
Se (0.7500, 0.2500, 0.5000)  4 S 2.79
S (0.2994, 0.6250, 0.1744)  2 N 1.89
S (0.3750, 0.5494, 0.6744)  2 N 1.89
S (0.4506, 0.1250, 0.8256)  2 N 1.89
S (0.8750, 0.7006, 0.3256)  2 N 1.89
N (0.2500, 0.7500, 0.5000)  4 S 1.89
N (0.5000, 0.5000, 0.0000)  4 S 1.89

=====

8.
Below is an optimized crystal structure of SiSeSN2, with properties calculated at the PBEsol level.

Properties
Fermi-level density of states = 0.365 states/eV/atom
Space group = P4/mmm (123)
Formation energy from raw total energies = 1.414 eV/atom

Unit cell a=3.7036 b=3.7036 c=4.9443 alpha=90.00 beta=90.00 gamma=90.00
Closest atoms and distances in Å follow each position.
Fractional coordinates of all 5 atoms:
Si (0.0000, 0.0000, 0.0000)  4 S 2.62
Se (0.5000, 0.5000, 0.5000)  4 N 1.85
S (0.5000, 0.5000, 0.0000)  2 Se 2.47, 4 Si 2.62
N (0.0000, 0.5000, 0.5000)  2 Se 1.85
N (0.5000, 0.0000, 0.5000)  2 Se 1.85

=====

9.
Below is an optimized crystal structure of SrSeSN2, with properties calculated at the PBEsol level.

Properties
Fermi-level density of states = 0.622 states/eV/atom
Space group = P4/mmm (123)
Formation energy from raw total energies = 0.661 eV/atom

Unit cell a=4.0558 b=4.0558 c=4.8094 alpha=90.00 beta=90.00 gamma=90.00
Closest atoms and distances in Å follow each position.
Fractional coordinates of all 5 atoms:
Sr (0.0000, 0.0000, 0.0000)  4 Se 2.87, 8 N 3.15
Se (0.5000, 0.5000, 0.0000)  2 S 2.40
S (0.5000, 0.5000, 0.5000)  4 N 2.03
N (0.0000, 0.5000, 0.5000)  2 S 2.03
N (0.5000, 0.0000, 0.5000)  2 S 2.03

=====

10.
Below is an optimized crystal structure of TaSeSN2, with properties calculated at the PBEsol level.

Properties
Fermi-level density of states = 0.621 states/eV/atom
Space group = P4/mmm (123)
Formation energy from raw total energies = 0.357 eV/atom

Unit cell a=3.9371 b=3.9371 c=5.1726 alpha=90.00 beta=90.00 gamma=90.00
Closest atoms and distances in Å follow each position.
Fractional coordinates of all 5 atoms:
Ta (0.0000, 0.0000, 0.0000)  4 N 1.97
Se (0.5000, 0.5000, 0.5000)  4 S 2.78
S (0.0000, 0.0000, 0.5000)  2 Ta 2.59, 4 Se 2.78
N (0.0000, 0.5000, 0.0000)  2 Ta 1.97
N (0.5000, 0.0000, 0.0000)  2 Ta 1.97

=====

11.
Below is an optimized crystal structure of TiSeS2N, with properties calculated at the PBEsol level.

Properties
Fermi-level density of states = 0.847 states/eV/atom
Space group = P4/mmm (123)
Formation energy from raw total energies = 0.653 eV/atom

Unit cell a=4.7597 b=4.7597 c=3.6111 alpha=90.00 beta=90.00 gamma=90.00
Closest atoms and distances in Å follow each position.
Fractional coordinates of all 5 atoms:
Ti (0.0000, 0.0000, 0.0000)  8 S 2.99
Se (0.5000, 0.5000, 0.5000)  2 N 1.81
S (0.0000, 0.5000, 0.5000)  2 Se 2.38
S (0.5000, 0.0000, 0.5000)  2 Se 2.38
N (0.5000, 0.5000, 0.0000)  2 Se 1.81

=====

12.
Below is an optimized crystal structure of SrTaSN2, with properties calculated at the PBEsol level.

Properties
Fermi-level density of states = 0.337 states/eV/atom
Space group = P4/mmm (123)
Formation energy from raw total energies = -0.968 eV/atom

Unit cell a=4.0717 b=4.0717 c=4.9727 alpha=90.00 beta=90.00 gamma=90.00
Closest atoms and distances in Å follow each position.
Fractional coordinates of all 5 atoms:
Sr (0.0000, 0.0000, 0.0000)  4 S 2.88, 8 N 3.21
Ta (0.5000, 0.5000, 0.5000)  4 N 2.04
S (0.5000, 0.5000, 0.0000)  2 Ta 2.49
N (0.0000, 0.5000, 0.5000)  2 Ta 2.04
N (0.5000, 0.0000, 0.5000)  2 Ta 2.04

=====

13.
Below is an optimized crystal structure of SrTaSN2, with properties calculated at the PBEsol level.

Properties
Fermi-level density of states = 0.838 states/eV/atom
Space group = P4/mmm (123)
Formation energy from raw total energies = 1.889 eV/atom

Unit cell a=4.1414 b=4.1414 c=5.2617 alpha=90.00 beta=90.00 gamma=90.00
Closest atoms and distances in Å follow each position.
Fractional coordinates of all 5 atoms:
Sr (0.0000, 0.0000, 0.0000)  4 N 2.07
Ta (0.5000, 0.5000, 0.5000)  4 S 2.93
S (0.0000, 0.0000, 0.5000)  2 Sr 2.63, 4 Ta 2.93
N (0.0000, 0.5000, 0.0000)  2 Sr 2.07
N (0.5000, 0.0000, 0.0000)  2 Sr 2.07

=====

14.
Below is an optimized crystal structure of SrTcS2N, with properties calculated at the PBEsol level.

Properties
Fermi-level density of states = 0.783 states/eV/atom
Space group = P4/mmm (123)
Formation energy from raw total energies = 1.599 eV/atom

Unit cell a=5.4055 b=5.4055 c=4.5546 alpha=90.00 beta=90.00 gamma=90.00
Closest atoms and distances in Å follow each position.
Fractional coordinates of all 5 atoms:
Sr (0.0000, 0.0000, 0.0000)  2 N 2.28
Tc (0.5000, 0.5000, 0.5000)  8 S 3.53, 4 N 3.82
S (0.0000, 0.5000, 0.0000)  2 Sr 2.70
S (0.5000, 0.0000, 0.0000)  2 Sr 2.70
N (0.0000, 0.0000, 0.5000)  2 Sr 2.28

=====

15.
Below is an optimized crystal structure of SrZnSN2, with properties calculated at the PBEsol level.

Properties
Fermi-level density of states = 0.510 states/eV/atom
Space group = P4/mmm (123)
Formation energy from raw total energies = 1.534 eV/atom

Unit cell a=4.6844 b=4.6844 c=5.7721 alpha=90.00 beta=90.00 gamma=90.00
Closest atoms and distances in Å follow each position.
Fractional coordinates of all 5 atoms:
Sr (0.0000, 0.0000, 0.0000)  4 N 2.34
Zn (0.5000, 0.5000, 0.5000)  4 S 3.31
S (0.0000, 0.0000, 0.5000)  2 Sr 2.89
N (0.0000, 0.5000, 0.0000)  2 Sr 2.34
N (0.5000, 0.0000, 0.0000)  2 Sr 2.34

=====

16.
Below is an optimized crystal structure of TaTeSN2, with properties calculated at the PBEsol level.

Properties
Fermi-level density of states = 0.759 states/eV/atom
Space group = P4/mmm (123)
Formation energy from raw total energies = 1.508 eV/atom

Unit cell a=3.9373 b=3.9373 c=4.8819 alpha=90.00 beta=90.00 gamma=90.00
Closest atoms and distances in Å follow each position.
Fractional coordinates of all 5 atoms:
Ta (0.0000, 0.0000, 0.0000)  4 S 2.78
Te (0.5000, 0.5000, 0.5000)  4 N 1.97
S (0.5000, 0.5000, 0.0000)  2 Te 2.44
N (0.0000, 0.5000, 0.5000)  2 Te 1.97
N (0.5000, 0.0000, 0.5000)  2 Te 1.97

=====

17.
Below is an optimized crystal structure of TaTeSN2, with properties calculated at the PBEsol level.

Properties
Fermi-level density of states = 0.598 states/eV/atom
Space group = P4/mmm (123)
Formation energy from raw total energies = 0.209 eV/atom

Unit cell a=4.0111 b=4.0111 c=5.0624 alpha=90.00 beta=90.00 gamma=90.00
Closest atoms and distances in Å follow each position.
Fractional coordinates of all 5 atoms:
Ta (0.0000, 0.0000, 0.0000)  4 N 2.01
Te (0.5000, 0.5000, 0.5000)  4 S 2.84
S (0.0000, 0.0000, 0.5000)  2 Ta 2.53
N (0.0000, 0.5000, 0.0000)  2 Ta 2.01
N (0.5000, 0.0000, 0.0000)  2 Ta 2.01

=====

18.
Below is an optimized crystal structure of TaTlSN2, with properties calculated at the PBEsol level.

Properties
Fermi-level density of states = 0.571 states/eV/atom
Space group = P4/mmm (123)
Formation energy from raw total energies = -0.050 eV/atom

Unit cell a=4.0159 b=4.0159 c=5.1217 alpha=90.00 beta=90.00 gamma=90.00
Closest atoms and distances in Å follow each position.
Fractional coordinates of all 5 atoms:
Ta (0.0000, 0.0000, 0.0000)  4 N 2.01
Tl (0.5000, 0.5000, 0.5000)  4 S 2.84
S (0.0000, 0.0000, 0.5000)  2 Ta 2.56, 4 Tl 2.84
N (0.0000, 0.5000, 0.0000)  2 Ta 2.01
N (0.5000, 0.0000, 0.0000)  2 Ta 2.01

=====

19.
Below is an optimized crystal structure of TaWSN2, with properties calculated at the PBEsol level.

Properties
Fermi-level density of states = 0.839 states/eV/atom
Space group = P4/mmm (123)
Formation energy from raw total energies = 0.548 eV/atom

Unit cell a=3.8548 b=3.8548 c=4.6840 alpha=90.00 beta=90.00 gamma=90.00
Closest atoms and distances in Å follow each position.
Fractional coordinates of all 5 atoms:
Ta (0.0000, 0.0000, 0.0000)  4 S 2.73, 8 N 3.03
W (0.5000, 0.5000, 0.5000)  4 N 1.93
S (0.5000, 0.5000, 0.0000)  2 W 2.34
N (0.0000, 0.5000, 0.5000)  2 W 1.93
N (0.5000, 0.0000, 0.5000)  2 W 1.93

=====

20.
Below is an optimized crystal structure of Tb3S3N, with properties calculated at the PBEsol level.

Properties
Space group = Pnma (62)
Formation energy from raw total energies = -2.062 eV/atom

Unit cell a=11.8288 b=3.8154 c=12.6498 alpha=90.00 beta=90.00 gamma=90.00
Closest atoms and distances in Å follow each position.
Fractional coordinates of all 28 atoms:
Tb (0.0458, 0.2500, 0.1447)  2 N 2.27
Tb (0.0710, 0.2500, 0.6301)  1 N 2.17
Tb (0.2152, 0.2500, 0.8618)  1 N 2.24
Tb (0.2848, 0.7500, 0.3618)  1 N 2.24
Tb (0.4290, 0.7500, 0.1301)  1 N 2.17
Tb (0.4542, 0.7500, 0.6447)  2 N 2.27
Tb (0.5458, 0.2500, 0.3553)  2 N 2.27
Tb (0.5710, 0.2500, 0.8699)  1 N 2.17
Tb (0.7152, 0.2500, 0.6382)  1 N 2.24
Tb (0.7848, 0.7500, 0.1382)  1 N 2.24
Tb (0.9290, 0.7500, 0.3699)  1 N 2.17
Tb (0.9542, 0.7500, 0.8553)  2 N 2.27
S (0.0914, 0.2500, 0.3969)  5 Tb 2.73-3.01
S (0.1348, 0.7500, 0.9933)  5 Tb 2.70-2.90
S (0.2259, 0.7500, 0.6926)  5 Tb 2.76-2.87
S (0.2741, 0.2500, 0.1926)  5 Tb 2.76-2.87
S (0.3652, 0.2500, 0.4933)  5 Tb 2.70-2.90
S (0.4086, 0.7500, 0.8969)  5 Tb 2.73-3.01
S (0.5914, 0.2500, 0.1031)  5 Tb 2.73-3.01
S (0.6348, 0.7500, 0.5067)  5 Tb 2.70-2.90
S (0.7259, 0.7500, 0.8074)  5 Tb 2.76-2.87
S (0.7741, 0.2500, 0.3074)  5 Tb 2.76-2.87
S (0.8652, 0.2500, 0.0067)  5 Tb 2.70-2.90
S (0.9086, 0.7500, 0.6031)  5 Tb 2.73-3.01
N (0.0382, 0.2500, 0.7986)  4 Tb 2.17-2.27
N (0.4618, 0.7500, 0.2986)  4 Tb 2.17-2.27
N (0.5382, 0.2500, 0.7014)  4 Tb 2.17-2.27
N (0.9618, 0.7500, 0.2014)  4 Tb 2.17-2.27